! PBE-GGA BaTa3Ni4Se12, optimized geometry; values from VASP
&SYSTEM
  ibrav = 0, nat = 20, ntyp = 4
/
ATOMIC_SPECIES
Ni 58.69 Ni.upf
Se 78.96 Se.upf
Ba 137.33 Ba.upf
Ta 180.95 Ta.upf
CELL_PARAMETERS angstrom
8.6000 -0.3736 -0.5190
-2.4347 8.2566 -0.5190
-2.4347 -3.1131 7.6649
ATOMIC_POSITIONS crystal
Ni 0.5000 0.9310 0.0690
Ni 0.5000 0.5000 0.5000
Se 0.6665 0.7709 0.0960
Se 0.5000 0.0918 0.9082
Ba 0.0000 0.0000 0.0000
Ni 0.0690 0.5000 0.9310
Se 0.5000 0.3409 0.6591
Ni 0.9310 0.0690 0.5000
Ta 0.4354 0.0000 0.5646
Se 0.3409 0.6591 0.5000
Se 0.3335 0.9040 0.2291
Se 0.2291 0.3335 0.9040
Se 0.0918 0.9082 0.5000
Se 0.9082 0.5000 0.0918
Ta 0.5646 0.4354 0.0000
Se 0.0960 0.6665 0.7709
Se 0.9040 0.2291 0.3335
Ta 0.0000 0.5646 0.4354
Se 0.7709 0.0960 0.6665
Se 0.6591 0.5000 0.3409
! formation energy without anion corrections: -8.0 eV per formula unit
! theoretical density: 6.08 g/cm3
! E_tot: -110.386 eV/cell

---

! PBE-GGA BaU3Ni4Se12, optimized geometry; values from VASP
&SYSTEM
  ibrav = 0, nat = 20, ntyp = 4
/
ATOMIC_SPECIES
Ba 137.33 Ba.upf
Se 78.96 Se.upf
Ni 58.69 Ni.upf
U 238.03 U.upf
CELL_PARAMETERS angstrom
8.8414 -0.1654 -0.2298
-2.2908 8.5411 -0.2298
-2.2908 -2.9291 8.0264
ATOMIC_POSITIONS crystal
Ba 0.0000 0.0000 0.0000
Se 0.5000 0.3404 0.6596
Ni 0.5000 0.5000 0.5000
Se 0.6596 0.5000 0.3404
U 0.4364 0.0000 0.5636
Se 0.6497 0.7599 0.0302
Ni 0.9286 0.0714 0.5000
Se 0.7599 0.0302 0.6497
Ni 0.0714 0.5000 0.9286
Se 0.2401 0.3503 0.9698
Se 0.3503 0.9698 0.2401
Se 0.9698 0.2401 0.3503
U 0.0000 0.5636 0.4364
Se 0.0302 0.6497 0.7599
Se 0.5000 0.0912 0.9088
U 0.5636 0.4364 0.0000
Ni 0.5000 0.9286 0.0714
Se 0.0912 0.9088 0.5000
Se 0.3404 0.6596 0.5000
Se 0.9088 0.5000 0.0912
! formation energy without anion corrections: -11.7 eV per formula unit
! theoretical density: 5.71 g/cm3
! E_tot: -112.385 eV/cell

---

! PBE-GGA BaU4Ni3Se12, optimized geometry; values from VASP
&SYSTEM
  ibrav = 0, nat = 20, ntyp = 4
/
ATOMIC_SPECIES
Se 78.96 Se.upf
Ni 58.69 Ni.upf
U 238.03 U.upf
Ba 137.33 Ba.upf
CELL_PARAMETERS angstrom
-0.2846 7.0814 5.1859
-8.1803 -2.5935 -1.8645
4.2568 -6.4797 4.1247
ATOMIC_POSITIONS crystal
Se 0.3227 0.1594 0.4821
Ni 0.5000 0.0000 0.5000
Se 0.1633 0.3227 0.8406
Se 0.5179 0.6773 0.8406
U 0.0000 0.0000 0.5000
Se 0.1594 0.4821 0.3227
Se 0.1594 0.8367 0.6773
Ni 0.5000 0.5000 0.0000
Se 0.8406 0.1633 0.3227
U 0.5000 0.5000 0.5000
Se 0.6773 0.8406 0.5179
Ni 0.0000 0.5000 0.5000
U 0.0000 0.5000 0.0000
Se 0.6773 0.1594 0.8367
Se 0.3227 0.8406 0.1633
Se 0.8367 0.6773 0.1594
Se 0.8406 0.5179 0.6773
Se 0.4821 0.3227 0.1594
Ba 0.0000 0.0000 0.0000
U 0.5000 0.0000 0.0000
! formation energy without anion corrections: -16.2 eV per formula unit
! theoretical density: 7.05 g/cm3
! E_tot: -122.390 eV/cell